Entry 1:
Computed, not measured: a geometry-optimized Er4Au2C structure at the GGA-PBE level of DFT.

a = 7.9881 Å, b = 7.9881 Å, c = 7.9881 Å
α = 145.26°, β = 145.26°, γ = 49.94°
Closest atoms and distances in Å follow each position.
Positions (direct):
Er  0.0000  0.5000  0.5000  2 C 2.38
Er  0.1707  0.1707  0.0000  1 C 2.47
Er  0.5000  0.0000  0.5000  2 C 2.38
Er  0.8293  0.8293  0.0000  1 C 2.47
Au  0.3683  0.3683  0.0000  5 Er 2.86-3.05
Au  0.6317  0.6317  0.0000  5 Er 2.86-3.05
C  0.0000  0.0000  0.0000  6 Er 2.38-2.47

M_tot = 0.003 μB per formula unit
Energy of formation from the pure elements = -540 meV per atom

---

Entry 2:
Computed, not measured: a geometry-optimized Er6Au2C structure at the GGA-PBE level of DFT.

a = 6.6649 Å, b = 6.9383 Å, c = 11.5783 Å
α = 90.00°, β = 124.36°, γ = 90.00°
Closest atoms and distances in Å follow each position.
Positions (direct):
Er  0.1427  0.0206  0.2427  1 C 2.41
Er  0.1427  0.4794  0.7427  1 C 2.41
Er  0.2476  0.7141  0.0514  1 C 2.43
Er  0.2476  0.7859  0.5514  1 C 2.43
Er  0.3406  0.1998  0.0511  1 C 2.43
Er  0.3406  0.3002  0.5511  1 C 2.43
Er  0.6594  0.6998  0.4489  1 C 2.43
Er  0.6594  0.8002  0.9489  1 C 2.43
Er  0.7524  0.2141  0.4486  1 C 2.43
Er  0.7524  0.2859  0.9486  1 C 2.43
Er  0.8573  0.5206  0.2573  1 C 2.41
Er  0.8573  0.9794  0.7573  1 C 2.41
Au  0.2765  0.0642  0.7509  6 Er 2.90-3.08
Au  0.2765  0.4358  0.2509  6 Er 2.90-3.08
Au  0.7235  0.5642  0.7491  6 Er 2.90-3.08
Au  0.7235  0.9358  0.2491  6 Er 2.90-3.08
C  0.0000  0.0000  0.0000  6 Er 2.41-2.43
C  0.0000  0.5000  0.5000  6 Er 2.41-2.43

M_tot = 0.000 μB per formula unit
Energy of formation from the pure elements = -542 meV per atom

---

Entry 3:
Computed, not measured: a geometry-optimized Er3AuC structure at the GGA-PBE level of DFT.

a = 8.5921 Å, b = 3.6043 Å, c = 14.1646 Å
α = 90.00°, β = 90.00°, γ = 90.00°
Closest atoms and distances in Å follow each position.
Positions (direct):
Er  0.0051  0.2500  0.1013  3 C 2.43-2.50
Er  0.1772  0.2500  0.5269  2 C 2.50
Er  0.1928  0.7500  0.3084  1 C 2.40
Er  0.3072  0.2500  0.8084  1 C 2.40
Er  0.3228  0.7500  0.0269  2 C 2.50
Er  0.4949  0.7500  0.6013  3 C 2.43-2.50
Er  0.5051  0.2500  0.3987  3 C 2.43-2.50
Er  0.6772  0.2500  0.9731  2 C 2.50
Er  0.6928  0.7500  0.1916  1 C 2.40
Er  0.8072  0.2500  0.6916  1 C 2.40
Er  0.8228  0.7500  0.4731  2 C 2.50
Er  0.9949  0.7500  0.8987  3 C 2.43-2.50
Au  0.0944  0.7500  0.6871  7 Er 2.98-3.12
Au  0.4056  0.2500  0.1871  7 Er 2.98-3.12
Au  0.5944  0.7500  0.8129  7 Er 2.98-3.12
Au  0.9056  0.2500  0.3129  7 Er 2.98-3.12
C  0.1617  0.2500  0.9530  6 Er 2.40-2.50
C  0.3383  0.7500  0.4530  6 Er 2.40-2.50
C  0.6617  0.2500  0.5470  6 Er 2.40-2.50
C  0.8383  0.7500  0.0470  6 Er 2.40-2.50

M_tot = 0.000 μB per formula unit
Energy of formation from the pure elements = -549 meV per atom
Energy above the most stable polymorph in this dataset = 0.000 eV/atom

---

Entry 4:
Computed, not measured: a geometry-optimized Er3AuC structure at the GGA-PBE level of DFT.

a = 4.7986 Å, b = 4.7986 Å, c = 4.7986 Å
α = 90.00°, β = 90.00°, γ = 90.00°
Closest atoms and distances in Å follow each position.
Positions (direct):
Er  0.0000  0.0000  0.5000  2 C 2.40
Er  0.0000  0.5000  0.0000  2 C 2.40
Er  0.5000  0.0000  0.0000  2 C 2.40
Au  0.5000  0.5000  0.5000  12 Er 3.39
C  0.0000  0.0000  0.0000  6 Er 2.40

M_tot = 0.822 μB per formula unit
Energy of formation from the pure elements = -453 meV per atom
Energy above the most stable polymorph in this dataset = 0.096 eV/atom

---

Entry 5:
Computed, not measured: a geometry-optimized Er4GaAuC structure at the GGA-PBE level of DFT.

a = 7.9561 Å, b = 7.9561 Å, c = 6.7721 Å
α = 90.00°, β = 90.00°, γ = 129.81°
Closest atoms and distances in Å follow each position.
Positions (direct):
Er  0.0000  0.5000  0.0000  2 C 2.39
Er  0.0000  0.5000  0.5000  2 C 2.39
Er  0.0790  0.9210  0.7500  1 C 2.45
Er  0.4209  0.5791  0.7500  1 C 2.47
Er  0.5000  0.0000  0.0000  2 C 2.39
Er  0.5000  0.0000  0.5000  2 C 2.39
Er  0.5791  0.4209  0.2500  1 C 2.47
Er  0.9210  0.0790  0.2500  1 C 2.45
Ga  0.1227  0.8773  0.2500  5 Er 2.91-3.01
Ga  0.8773  0.1227  0.7500  5 Er 2.91-3.01
Au  0.3810  0.6190  0.2500  5 Er 2.85-3.05
Au  0.6190  0.3810  0.7500  5 Er 2.85-3.05
C  0.2492  0.7508  0.7500  6 Er 2.39-2.47
C  0.7508  0.2492  0.2500  6 Er 2.39-2.47

M_tot = 0.000 μB per formula unit
Energy of formation from the pure elements = -482 meV per atom

---

Entry 6:
Computed, not measured: a geometry-optimized Er2IrAuC structure at the GGA-PBE level of DFT.

a = 4.9523 Å, b = 4.9523 Å, c = 3.8679 Å
α = 90.00°, β = 90.00°, γ = 90.00°
Closest atoms and distances in Å follow each position.
Positions (direct):
Er  0.0000  0.5000  0.0000  2 C 2.48
Er  0.5000  0.0000  0.0000  2 C 2.48
Ir  0.0000  0.0000  0.5000  2 C 1.93
Au  0.5000  0.5000  0.5000  8 Er 3.14, 4 Ir 3.50
C  0.0000  0.0000  0.0000  2 Ir 1.93

M_tot = 0.000 μB per formula unit
Energy of formation from the pure elements = -711 meV per atom

---

Entry 7:
Computed, not measured: a geometry-optimized Er2OsAuC structure at the GGA-PBE level of DFT.

a = 4.9340 Å, b = 4.9340 Å, c = 3.8768 Å
α = 90.00°, β = 90.00°, γ = 90.00°
Closest atoms and distances in Å follow each position.
Positions (direct):
Er  0.0000  0.5000  0.0000  2 C 2.47
Er  0.5000  0.0000  0.0000  2 C 2.47
Os  0.0000  0.0000  0.5000  2 C 1.94
Au  0.5000  0.5000  0.5000  8 Er 3.14, 4 Os 3.49
C  0.0000  0.0000  0.0000  2 Os 1.94

M_tot = 0.000 μB per formula unit
Energy of formation from the pure elements = -563 meV per atom

---

Entry 8:
Computed, not measured: a geometry-optimized Er4SnAuC structure at the GGA-PBE level of DFT.

a = 8.1602 Å, b = 8.1602 Å, c = 6.7903 Å
α = 90.00°, β = 90.00°, γ = 130.78°
Closest atoms and distances in Å follow each position.
Positions (direct):
Er  0.0000  0.5000  0.0000  2 C 2.40
Er  0.0000  0.5000  0.5000  2 C 2.40
Er  0.0777  0.9223  0.7500  1 C 2.53
Er  0.4115  0.5885  0.7500  1 C 2.42
Er  0.5000  0.0000  0.0000  2 C 2.40
Er  0.5000  0.0000  0.5000  2 C 2.40
Er  0.5885  0.4115  0.2500  1 C 2.42
Er  0.9223  0.0777  0.2500  1 C 2.53
Sn  0.3845  0.6155  0.2500  5 Er 3.03-3.12
Sn  0.6155  0.3845  0.7500  5 Er 3.03-3.12
Au  0.1182  0.8818  0.2500  5 Er 2.91-3.10
Au  0.8818  0.1182  0.7500  5 Er 2.91-3.10
C  0.2485  0.7515  0.7500  6 Er 2.40-2.53
C  0.7515  0.2485  0.2500  6 Er 2.40-2.53

M_tot = 0.000 μB per formula unit
Energy of formation from the pure elements = -581 meV per atom

---

Computed uncorrected energy (eV/atom) in order:
-5.40; -5.34; -5.79; -5.69; -5.31; -6.81; -7.13; -5.55